Material: AlCd2Cu
Method: DFT, PBE-GGA
State: optimized geometry

Computed properties:
DOS(E_F) ... 0.932 states/eV/cell
Energy relative to the elements ... 0.104 eV/atom
SG ... Pm (6)

Cell lengths 4.354, 3.199, 5.628 Å; angles 70.46, 90.00, 90.00 degrees
Positions (direct):
Al  0.500  0.565  0.746
Cu  0.000  0.683  0.498
Cd  0.000  0.937  0.965
Cd  0.500  0.315  0.291